Here is crystalline Cs2GeRuCl6 at its relaxed geometry from the Alexandria database. Energies are from PBE.

Computed properties:
SG = Fm-3m (225)
Raw formation energy = -105 kJ/mol of atoms
Spin magnetization = 0.0 μB/f.u.
E_tot = -3.755 eV/atom

a b c (Å): 7.2592 7.2592 7.2578
angles (deg): 59.99 59.99 90.00
Element x y z (fractional)
Cl 0.7607 0.7607 0.4786
Cl 0.2393 0.2393 0.0000
Cl 0.7607 0.7607 0.0000
Cl 0.7607 0.2393 0.0000
Cl 0.2393 0.2393 0.5214
Cl 0.2393 0.7607 0.0000
Cs 0.7500 0.2500 0.5000
Cs 0.2500 0.7500 0.5000
Ru 0.0000 0.0000 0.0000
Ge 0.5000 0.5000 0.0000



Here is crystalline CsGeSCl2 at its relaxed geometry from the Alexandria database. Energies are from PBE.

Computed properties:
SG = P4/mmm (123)
Energy relative to the lowest polymorph listed for this composition = 0 meV per atom
Raw formation energy = -90 kJ/mol of atoms
Spin magnetization = 0.0 μB/f.u.
E_tot = -3.589 eV/atom

a b c (Å): 5.4374 5.4374 4.6721
angles (deg): 90.00 90.00 90.00
Element x y z (fractional)
Cl 0.5000 0.0000 0.0000
Cl 0.0000 0.5000 0.0000
S 0.0000 0.0000 0.5000
Cs 0.5000 0.5000 0.5000
Ge 0.0000 0.0000 0.0000



Here is crystalline CsGeSCl2 at its relaxed geometry from the Alexandria database. Energies are from PBE.

Computed properties:
SG = P4/mmm (123)
Energy relative to the lowest polymorph listed for this composition = 1366 meV per atom
Raw formation energy = 42 kJ/mol of atoms
Spin magnetization = 0.0 μB/f.u.
E_tot = -2.223 eV/atom

a b c (Å): 6.0559 6.0559 5.5426
angles (deg): 90.00 90.00 90.00
Last column: magnetic moment on the atom in μB.
Element x y z (fractional)
Cl 0.0000 0.5000 0.0000  0.01
Cl 0.5000 0.0000 0.0000  0.01
S 0.0000 0.0000 0.5000  0.08
Ge 0.5000 0.5000 0.5000  -0.09
Cs 0.0000 0.0000 0.0000  0.00



Here is crystalline Cs2GeSCl6 at its relaxed geometry from the Alexandria database. Energies are from PBE.

Computed properties:
SG = I4/mmm (139)
Raw formation energy = -99 kJ/mol of atoms
Spin magnetization = 0.0 μB/f.u.
E_tot = -3.184 eV/atom

a b c (Å): 7.0887 7.0887 8.0373
angles (deg): 63.83 63.83 90.00
Element x y z (fractional)
Cl 0.7377 0.2623 0.0000
Cl 0.2623 0.7377 0.0000
Cl 0.2623 0.2623 0.0000
Cl 0.2034 0.2034 0.5933
Cl 0.7966 0.7966 0.4067
Cl 0.7377 0.7377 0.0000
S 0.5000 0.5000 0.0000
Cs 0.2500 0.7500 0.5000
Cs 0.7500 0.2500 0.5000
Ge 0.0000 0.0000 0.0000



Question: Which value of E_tot does entry 1 give?
Answer: -3.755 eV/atom



Question: What is the E_tot in the fourth record?
Answer: -3.184 eV/atom



Question: What is the spin magnetization in the first record?
Answer: 0.0 μB/f.u.